Entry from Alexandria: a relaxed ReAgSbI2 crystal (PBE).

Geometry as CIF:
```
data_ReAgSbI2
_chemical_formula_sum 'Re1 Ag1 Sb1 I2'
_cell_length_a 5.6270
_cell_length_b 5.6270
_cell_length_c 5.0916
_cell_angle_alpha 90.00
_cell_angle_beta 90.00
_cell_angle_gamma 90.00
_space_group_name_H-M_alt 'P 4/m m m'
_space_group_IT_number 123
_space_group_name_Hall '-P 4 2'
loop_
_atom_site_label
_atom_site_fract_x
_atom_site_fract_y
_atom_site_fract_z
Re1 0.0000 0.0000 0.0000
Ag1 0.5000 0.5000 0.5000
Sb1 0.0000 0.0000 0.5000
I1 0.0000 0.5000 0.0000
```

Results
Calculated volume (A^3/atom): 32.243
Raw formation energy (meV per atom): 864.0
Spin magnetization (Bohr magnetons per cell): 1.34